VASP calculation (PBE-GGA) on a relaxed structure of Co9Bi.

abc: 2.5862 2.5862 44.8490
angles: 90.00 90.00 90.00
Element x y z (fractional)
Bi: 0.0000 0.5000 0.1456
Bi: 0.5000 0.0000 0.8544
Co: 0.5000 0.0000 0.1949
Co: 0.0000 0.5000 0.2298
Co: 0.5000 0.0000 0.2661
Co: 0.0000 0.5000 0.3021
Co: 0.5000 0.0000 0.3379
Co: 0.0000 0.5000 0.3738
Co: 0.5000 0.0000 0.4098
Co: 0.0000 0.5000 0.4458
Co: 0.5000 0.0000 0.4819
Co: 0.0000 0.5000 0.5181
Co: 0.5000 0.0000 0.5542
Co: 0.0000 0.5000 0.5902
Co: 0.5000 0.0000 0.6262
Co: 0.0000 0.5000 0.6621
Co: 0.5000 0.0000 0.6979
Co: 0.0000 0.5000 0.7339
Co: 0.5000 0.0000 0.7702
Co: 0.0000 0.5000 0.8051

Properties
crystal system	tetragonal
symmetry	P4/nmm
magnetic moment	0.000	μB per formula unit
total energy	-6.23	eV/atom

VASP calculation (PBE-GGA) on a relaxed structure of Co17Bi.

abc: 4.2813 4.9426 31.4562
angles: 90.00 90.12 90.00
Each line ends with the local moment (μB).
Element x y z (fractional)
Bi: 0.3321 0.0000 0.2058  -0.05
Bi: 0.6679 0.5000 0.7943  -0.05
Co: 0.8331 0.2514 0.2447  1.56
Co: 0.8331 0.7486 0.2447  1.56
Co: 0.3337 0.5000 0.2454  1.58
Co: 0.0013 0.0000 0.3067  1.66
Co: 0.4990 0.2472 0.3070  1.68
Co: 0.4990 0.7528 0.3070  1.68
Co: 0.0024 0.5000 0.3075  1.60
Co: 0.6647 0.5000 0.3707  1.63
Co: 0.6709 0.0000 0.3716  1.63
Co: 0.1668 0.2488 0.3718  1.64
Co: 0.1668 0.7512 0.3718  1.64
Co: 0.3329 0.5000 0.4356  1.63
Co: 0.8333 0.2501 0.4357  1.65
Co: 0.8333 0.7499 0.4357  1.65
Co: 0.3337 0.0000 0.4359  1.61
Co: 0.0002 0.0000 0.4999  1.64
Co: 0.5000 0.2500 0.5000  1.65
Co: 0.5000 0.7500 0.5000  1.65
Co: 0.9998 0.5000 0.5001  1.64
Co: 0.6663 0.5000 0.5641  1.61
Co: 0.1667 0.2499 0.5643  1.65
Co: 0.1667 0.7501 0.5643  1.65
Co: 0.6671 0.0000 0.5644  1.63
Co: 0.8333 0.2512 0.6282  1.64
Co: 0.8333 0.7488 0.6282  1.64
Co: 0.3291 0.5000 0.6284  1.63
Co: 0.3353 0.0000 0.6293  1.62
Co: 0.9976 0.0000 0.6925  1.62
Co: 0.5010 0.2528 0.6930  1.70
Co: 0.5010 0.7472 0.6930  1.70
Co: 0.9987 0.5000 0.6933  1.68
Co: 0.6663 0.0000 0.7547  1.59
Co: 0.1669 0.2487 0.7553  1.56
Co: 0.1669 0.7513 0.7553  1.56

Properties
crystal system	monoclinic
symmetry	P2_1/m
magnetic moment	27.515	μB per formula unit
total energy	-6.82	eV/atom

VASP calculation (PBE-GGA) on a relaxed structure of Co2Bi.

abc: 8.3579 8.3579 8.3579
angles: 60.00 60.00 60.00
Each line ends with the local moment (μB).
Element x y z (fractional)
Bi: 0.2500 0.2500 0.2500  0.08
Bi: 0.5000 0.5000 0.5000  0.08
Co: 0.3750 0.3750 0.3750  2.31
Co: 0.8750 0.3750 0.3750  1.96
Co: 0.3750 0.8750 0.3750  2.29
Co: 0.3750 0.3750 0.8750  2.35

Properties
crystal system	cubic
symmetry	Fd-3m
magnetic moment	4.996	μB per formula unit
total energy	-4.00	eV/atom